1.
Crystalline ScBe3Si at its relaxed geometry, computed with PBE-GGA.

The structure belongs to space group Pm-3m (No. 221); the cell edges are 4.139, 4.139 and 4.139 Å and the angles 90.00°, 90.00° and 90.00°. The distinct sites, in fractional coordinates, are Sc at (0.000, 0.000, 0.000), Be at (0.000, 0.500, 0.500) and Si at (0.500, 0.500, 0.500).

As for the energy relative to the elements, uncorrected: 528 meV/atom. Its crystal system is cubic. The density of states at the Fermi level comes out at 0.410 states/eV/atom. The energy above the most stable polymorph in this dataset is 0 meV/atom. The size of the total moment is 0.0 μB/f.u.

***

2.
Crystalline Mg3Cd at its relaxed geometry, computed with PBE-GGA.

The structure belongs to space group Pm-3m (No. 221); the cell edges are 4.454, 4.454 and 4.454 Å and the angles 90.00°, 90.00° and 90.00°. The distinct sites, in fractional coordinates, are Mg at (0.000, 0.000, 0.500) and Cd at (0.500, 0.500, 0.500).

Its crystal system is cubic. The density of states at the Fermi level comes out at 0.776 states/eV/atom. The energy comes out at -5.93 eV/cell. The size of the total moment is 0.0 μB/f.u.

***

3.
Crystalline MnCo2H2 at its relaxed geometry, computed with PBE-GGA.

The structure belongs to space group P4/mbm (No. 127); the cell edges are 4.857, 4.857 and 3.448 Å and the angles 90.00°, 90.00° and 90.00°. The distinct sites, in fractional coordinates, are Mn at (0.000, 0.000, 0.000), Co at (0.176, 0.324, 0.500) and H at (0.162, 0.338, 0.000).

Its crystal system is tetragonal. The density of states at the Fermi level comes out at 0.713 states/eV/atom. The energy above the most stable polymorph in this dataset is 65 meV/atom. The size of the total moment is 4.1 μB/f.u.

***

4.
Crystalline Sr2MgGa3Au12 at its relaxed geometry, computed with PBE-GGA.

The structure belongs to space group R-3m (No. 166, hexagonal axes); the cell edges are 8.8353, 8.8353 and 19.6717 Å and the angles 90.00°, 90.00° and 120.00°. The distinct sites, in fractional coordinates, are Sr at (0.0000, 0.0000, 0.1103), Mg at (0.0000, 0.0000, 0.5000), Ga at (0.0000, 0.5000, 0.0000), Au at (0.0001, 0.5001, 0.1298) and Au at (0.0157, 0.5078, 0.3587).

Its crystal system is trigonal. The density of states at the Fermi level comes out at 0.417 states/eV/atom. The energy comes out at -169.07 eV/cell. The size of the total moment is 0.0 μB/f.u.

***

5.
Crystalline Ta2BeSbMo at its relaxed geometry, computed with PBE-GGA.

The structure belongs to space group P4/mmm (No. 123); the cell edges are 4.505, 4.505 and 4.226 Å and the angles 90.00°, 90.00° and 90.00°. The distinct sites, in fractional coordinates, are Ta at (0.000, 0.500, 0.000), Be at (0.000, 0.000, 0.000), Sb at (0.500, 0.500, 0.500) and Mo at (0.000, 0.000, 0.500).

As for the energy relative to the elements, uncorrected: 530 meV/atom. Its crystal system is tetragonal. The density of states at the Fermi level comes out at 0.784 states/eV/atom. The size of the total moment is 0.0 μB/f.u.

***

6.
Crystalline Ac7Ag2Rh2 at its relaxed geometry, computed with PBE-GGA.

The structure belongs to space group Cmmm (No. 65); the cell edges are 8.341, 12.347 and 7.617 Å and the angles 90.00°, 90.00° and 90.00°. The distinct sites, in fractional coordinates, are Ac at (0.000, 0.000, 0.000), Ac at (0.000, 0.500, 0.249), Ac at (0.250, 0.250, 0.257), Ag at (0.170, 0.000, 0.500) and Rh at (0.000, 0.301, 0.000).

Its crystal system is orthorhombic. The density of states at the Fermi level comes out at 1.047 states/eV/atom. The energy above the most stable polymorph in this dataset is 82 meV/atom. The size of the total moment is 0.0 μB/f.u.